one.
# Ho4ThSc2 (PBE, optimized geometry)
data_Ho4ThSc2
_chemical_formula_sum 'Ho16 Th4 Sc8'
_cell_length_a 6.949
_cell_length_b 11.046
_cell_length_c 11.046
_cell_angle_alpha 89.72
_cell_angle_beta 90.00
_cell_angle_gamma 90.00
_space_group_name_H-M_alt 'P 1'
_space_group_IT_number 1
loop_
_space_group_symop_operation_xyz
'x,y,z'
loop_
_atom_site_label
_atom_site_type_symbol
_atom_site_fract_x
_atom_site_fract_y
_atom_site_fract_z
_atom_site_occupancy
Th1 Th 0.999 0.000 0.500 1
Th2 Th 0.501 0.500 0.000 1
Th3 Th 0.499 0.000 0.500 1
Th4 Th 0.001 0.500 0.000 1
Ho1 Ho 0.250 0.718 0.500 1
Ho2 Ho 0.750 0.000 0.218 1
Ho3 Ho 0.750 0.781 0.000 1
Ho4 Ho 0.250 0.500 0.719 1
Ho5 Ho 0.750 0.500 0.718 1
Ho6 Ho 0.250 0.282 0.500 1
Ho7 Ho 0.750 0.219 0.000 1
Ho8 Ho 0.250 0.782 0.000 1
Ho9 Ho 0.750 0.500 0.282 1
Ho10 Ho 0.250 0.218 0.000 1
Ho11 Ho 0.250 0.000 0.781 1
Ho12 Ho 0.250 0.000 0.219 1
Ho13 Ho 0.750 0.000 0.782 1
Ho14 Ho 0.750 0.281 0.500 1
Ho15 Ho 0.750 0.719 0.500 1
Ho16 Ho 0.250 0.500 0.281 1
Sc1 Sc 0.500 0.250 0.250 1
Sc2 Sc 0.000 0.250 0.250 1
Sc3 Sc 0.500 0.750 0.250 1
Sc4 Sc 0.000 0.750 0.750 1
Sc5 Sc 0.000 0.750 0.250 1
Sc6 Sc 0.500 0.750 0.750 1
Sc7 Sc 0.000 0.250 0.750 1
Sc8 Sc 0.500 0.250 0.750 1
# Space-group type ... Cmme
# Spin magnetization ... 0.00 Bohr magnetons per cell
# Density of states at the Fermi level ... 1.666 states/eV per atom
# Calculated density ... 7.69 g cm⁻³

two.
# Ho4ThSc2 (PBE, optimized geometry)
data_Ho4ThSc2
_chemical_formula_sum 'Ho8 Th2 Sc4'
_cell_length_a 5.716
_cell_length_b 6.519
_cell_length_c 11.462
_cell_angle_alpha 90.00
_cell_angle_beta 104.52
_cell_angle_gamma 90.00
_space_group_name_H-M_alt 'P 1'
_space_group_IT_number 1
loop_
_space_group_symop_operation_xyz
'x,y,z'
loop_
_atom_site_label
_atom_site_type_symbol
_atom_site_fract_x
_atom_site_fract_y
_atom_site_fract_z
_atom_site_occupancy
Ho1 Ho 0.036 0.250 0.168 1
Ho2 Ho 0.362 0.999 0.709 1
Ho3 Ho 0.183 0.750 0.423 1
Ho4 Ho 0.964 0.750 0.832 1
Ho5 Ho 0.362 0.501 0.709 1
Ho6 Ho 0.817 0.250 0.577 1
Ho7 Ho 0.638 0.499 0.291 1
Ho8 Ho 0.638 0.001 0.291 1
Th1 Th 0.842 0.250 0.876 1
Th2 Th 0.158 0.750 0.124 1
Sc1 Sc 0.408 0.250 0.999 1
Sc2 Sc 0.253 0.250 0.444 1
Sc3 Sc 0.747 0.750 0.556 1
Sc4 Sc 0.592 0.750 0.001 1
# Space-group type ... P2_1/m
# Spin magnetization ... 0.00 Bohr magnetons per cell
# Density of states at the Fermi level ... 1.556 states/eV per atom
# Calculated density ... 7.88 g cm⁻³

two comes first in stability; the runner-up is 18 meV/atom higher.

one.
# Ho4ThSc (PBE, optimized geometry)
data_Ho4ThSc
_chemical_formula_sum 'Ho8 Th2 Sc2'
_cell_length_a 3.514
_cell_length_b 5.972
_cell_length_c 17.172
_cell_angle_alpha 89.58
_cell_angle_beta 90.00
_cell_angle_gamma 90.00
_space_group_name_H-M_alt 'P 1'
_space_group_IT_number 1
loop_
_space_group_symop_operation_xyz
'x,y,z'
loop_
_atom_site_label
_atom_site_type_symbol
_atom_site_fract_x
_atom_site_fract_y
_atom_site_fract_z
_atom_site_occupancy
Ho1 Ho 0.000 0.342 0.666 1
Ho2 Ho 0.000 0.336 0.163 1
Ho3 Ho 0.000 0.664 0.837 1
Ho4 Ho 0.500 0.164 0.337 1
Ho5 Ho 0.500 0.836 0.663 1
Ho6 Ho 0.500 0.158 0.834 1
Ho7 Ho 0.500 0.842 0.166 1
Ho8 Ho 0.000 0.658 0.334 1
Sc1 Sc 0.000 0.000 0.500 1
Sc2 Sc 0.500 0.500 0.000 1
Th1 Th 0.000 0.000 0.000 1
Th2 Th 0.500 0.500 0.500 1
# Space-group type ... C2/m
# Spin magnetization ... 0.00 Bohr magnetons per cell
# Density of states at the Fermi level ... 1.412 states/eV per atom
# Calculated density ... 8.63 g cm⁻³

two.
# Ho4ThSc (PBE, optimized geometry)
data_Ho4ThSc
_chemical_formula_sum 'Ho4 Th1 Sc1'
_cell_length_a 4.992
_cell_length_b 7.798
_cell_length_c 6.063
_cell_angle_alpha 105.40
_cell_angle_beta 65.69
_cell_angle_gamma 71.33
_space_group_name_H-M_alt 'P 1'
_space_group_IT_number 1
loop_
_space_group_symop_operation_xyz
'x,y,z'
loop_
_atom_site_label
_atom_site_type_symbol
_atom_site_fract_x
_atom_site_fract_y
_atom_site_fract_z
_atom_site_occupancy
Ho1 Ho 0.330 0.333 0.006 1
Ho2 Ho 0.167 0.168 0.497 1
Ho3 Ho 0.670 0.667 0.994 1
Ho4 Ho 0.833 0.832 0.503 1
Sc1 Sc 0.000 0.000 0.000 1
Th1 Th 0.500 0.500 0.500 1
# Space-group type ... C2/m
# Spin magnetization ... 0.00 Bohr magnetons per cell
# Density of states at the Fermi level ... 1.481 states/eV per atom
# Calculated density ... 8.60 g cm⁻³

one comes first in stability; the runner-up is 8 meV/atom higher.

one.
# HoThSc (PBE, optimized geometry)
data_HoThSc
_chemical_formula_sum 'Ho1 Th1 Sc1'
_cell_length_a 3.504
_cell_length_b 3.504
_cell_length_c 7.591
_cell_angle_alpha 103.35
_cell_angle_beta 103.35
_cell_angle_gamma 90.00
_space_group_name_H-M_alt 'P 1'
_space_group_IT_number 1
loop_
_space_group_symop_operation_xyz
'x,y,z'
loop_
_atom_site_label
_atom_site_type_symbol
_atom_site_fract_x
_atom_site_fract_y
_atom_site_fract_z
_atom_site_occupancy
Sc1 Sc 0.671 0.671 0.343 1
Ho1 Ho 0.999 0.999 0.999 1
Th1 Th 0.329 0.329 0.658 1
# Space-group type ... I4mm
# Spin magnetization ... 0.00 Bohr magnetons per cell
# Density of states at the Fermi level ... 1.570 states/eV per atom
# Calculated density ... 8.33 g cm⁻³

two.
# HoThSc (PBE, optimized geometry)
data_HoThSc
_chemical_formula_sum 'Ho2 Th2 Sc2'
_cell_length_a 3.499
_cell_length_b 5.983
_cell_length_c 9.588
_cell_angle_alpha 66.43
_cell_angle_beta 90.00
_cell_angle_gamma 107.00
_space_group_name_H-M_alt 'P 1'
_space_group_IT_number 1
loop_
_space_group_symop_operation_xyz
'x,y,z'
loop_
_atom_site_label
_atom_site_type_symbol
_atom_site_fract_x
_atom_site_fract_y
_atom_site_fract_z
_atom_site_occupancy
Th1 Th 0.004 0.007 0.757 1
Th2 Th 0.996 0.993 0.243 1
Ho1 Ho 0.333 0.665 0.592 1
Ho2 Ho 0.667 0.335 0.408 1
Sc1 Sc 0.670 0.339 0.923 1
Sc2 Sc 0.330 0.661 0.077 1
# Space-group type ... C2/m
# Spin magnetization ... 0.00 Bohr magnetons per cell
# Density of states at the Fermi level ... 1.439 states/eV per atom
# Calculated density ... 8.42 g cm⁻³

three.
# HoThSc (PBE, optimized geometry)
data_HoThSc
_chemical_formula_sum 'Ho4 Th4 Sc4'
_cell_length_a 5.520
_cell_length_b 9.562
_cell_length_c 6.689
_cell_angle_alpha 90.00
_cell_angle_beta 90.01
_cell_angle_gamma 90.00
_space_group_name_H-M_alt 'P 1'
_space_group_IT_number 1
loop_
_space_group_symop_operation_xyz
'x,y,z'
loop_
_atom_site_label
_atom_site_type_symbol
_atom_site_fract_x
_atom_site_fract_y
_atom_site_fract_z
_atom_site_occupancy
Th1 Th 0.999 0.833 0.000 1
Th2 Th 0.501 0.333 0.000 1
Th3 Th 0.001 0.167 0.000 1
Th4 Th 0.499 0.667 0.000 1
Sc1 Sc 0.000 0.500 0.756 1
Sc2 Sc 0.500 0.000 0.244 1
Sc3 Sc 0.500 0.000 0.756 1
Sc4 Sc 0.000 0.500 0.244 1
Ho1 Ho 0.493 0.333 0.500 1
Ho2 Ho 0.507 0.667 0.500 1
Ho3 Ho 0.007 0.833 0.500 1
Ho4 Ho 0.993 0.167 0.500 1
# Space-group type ... Pbam
# Spin magnetization ... 0.01 Bohr magnetons per cell
# Density of states at the Fermi level ... 1.715 states/eV per atom
# Calculated density ... 8.31 g cm⁻³

one comes first in stability; the runner-up is 14 meV/atom higher.